(1)
Material: Tb3Os5N12
Method: DFT, PBE-GGA
State: optimized geometry

The calculation puts the calculated total energy at -8.705 eV per atom. The calculated density is 10.30 g cm⁻³. The density of states at the Fermi level is 0.380 states/eV per atom. For the energy relative to the elements, uncorrected, the calculation gives -208 meV/atom.

Cell lengths 11.0165, 11.0165, 11.0165 Å; angles 109.47, 109.47, 109.47 degrees
Fractional coordinates of all 80 atoms:
Tb: 0.1250 0.2500 0.3750
Tb: 0.1250 0.3750 0.7500
Tb: 0.2500 0.3750 0.1250
Tb: 0.2500 0.8750 0.6250
Tb: 0.3750 0.1250 0.2500
Tb: 0.3750 0.7500 0.1250
Tb: 0.6250 0.2500 0.8750
Tb: 0.6250 0.8750 0.7500
Tb: 0.7500 0.1250 0.3750
Tb: 0.7500 0.6250 0.8750
Tb: 0.8750 0.6250 0.2500
Tb: 0.8750 0.7500 0.6250
Os: 0.0000 0.0000 0.0000
Os: 0.0000 0.0000 0.5000
Os: 0.0000 0.5000 0.0000
Os: 0.0000 0.5000 0.5000
Os: 0.1250 0.7500 0.8750
Os: 0.1250 0.8750 0.2500
Os: 0.2500 0.1250 0.8750
Os: 0.2500 0.6250 0.3750
Os: 0.3750 0.2500 0.6250
Os: 0.3750 0.6250 0.7500
Os: 0.5000 0.0000 0.0000
Os: 0.5000 0.0000 0.5000
Os: 0.5000 0.5000 0.0000
Os: 0.5000 0.5000 0.5000
Os: 0.6250 0.3750 0.2500
Os: 0.6250 0.7500 0.3750
Os: 0.7500 0.3750 0.6250
Os: 0.7500 0.8750 0.1250
Os: 0.8750 0.1250 0.7500
Os: 0.8750 0.2500 0.1250
N: 0.0165 0.1969 0.1183
N: 0.0165 0.3196 0.8982
N: 0.0786 0.6969 0.6804
N: 0.0786 0.8817 0.3982
N: 0.1018 0.6183 0.4214
N: 0.1018 0.9835 0.6804
N: 0.1183 0.0165 0.1969
N: 0.1183 0.6018 0.9214
N: 0.1804 0.1969 0.5786
N: 0.1804 0.4835 0.6018
N: 0.1969 0.1183 0.0165
N: 0.1969 0.5786 0.1804
N: 0.3031 0.3196 0.9214
N: 0.3031 0.4835 0.3817
N: 0.3196 0.8982 0.0165
N: 0.3196 0.9214 0.3031
N: 0.3817 0.3031 0.4835
N: 0.3817 0.5786 0.8982
N: 0.3982 0.0786 0.8817
N: 0.3982 0.8196 0.5165
N: 0.4214 0.1018 0.6183
N: 0.4214 0.8196 0.8031
N: 0.4835 0.3817 0.3031
N: 0.4835 0.6018 0.1804
N: 0.5165 0.3982 0.8196
N: 0.5165 0.6183 0.6969
N: 0.5786 0.1804 0.1969
N: 0.5786 0.8982 0.3817
N: 0.6018 0.1804 0.4835
N: 0.6018 0.9214 0.1183
N: 0.6183 0.4214 0.1018
N: 0.6183 0.6969 0.5165
N: 0.6804 0.0786 0.6969
N: 0.6804 0.1018 0.9835
N: 0.6969 0.5165 0.6183
N: 0.6969 0.6804 0.0786
N: 0.8031 0.4214 0.8196
N: 0.8031 0.8817 0.9835
N: 0.8196 0.5165 0.3982
N: 0.8196 0.8031 0.4214
N: 0.8817 0.3982 0.0786
N: 0.8817 0.9835 0.8031
N: 0.8982 0.0165 0.3196
N: 0.8982 0.3817 0.5786
N: 0.9214 0.1183 0.6018
N: 0.9214 0.3031 0.3196
N: 0.9835 0.6804 0.1018
N: 0.9835 0.8031 0.8817

---

(2)
Material: Tb12Os3N5
Method: DFT, PBE-GGA
State: optimized geometry

The calculation puts the calculated total energy at -7.312 eV per atom. The calculated density is 9.60 g cm⁻³. The density of states at the Fermi level is 0.606 states/eV per atom. For the energy relative to the elements, uncorrected, the calculation gives -768 meV/atom.

Cell lengths 13.1797, 13.1797, 13.1797 Å; angles 109.47, 109.47, 109.47 degrees
Fractional coordinates of all 80 atoms:
Tb: 0.0256 0.2064 0.1226
Tb: 0.0256 0.3193 0.9030
Tb: 0.0837 0.7064 0.6807
Tb: 0.0837 0.8774 0.4030
Tb: 0.0970 0.6226 0.4163
Tb: 0.0970 0.9744 0.6807
Tb: 0.1226 0.0256 0.2064
Tb: 0.1226 0.5970 0.9163
Tb: 0.1807 0.2064 0.5837
Tb: 0.1807 0.4744 0.5970
Tb: 0.2064 0.1226 0.0256
Tb: 0.2064 0.5837 0.1807
Tb: 0.2936 0.3193 0.9163
Tb: 0.2936 0.4744 0.3774
Tb: 0.3193 0.9030 0.0256
Tb: 0.3193 0.9163 0.2936
Tb: 0.3774 0.2936 0.4744
Tb: 0.3774 0.5837 0.9030
Tb: 0.4030 0.0837 0.8774
Tb: 0.4030 0.8193 0.5256
Tb: 0.4163 0.0970 0.6226
Tb: 0.4163 0.8193 0.7936
Tb: 0.4744 0.3774 0.2936
Tb: 0.4744 0.5970 0.1807
Tb: 0.5256 0.4030 0.8193
Tb: 0.5256 0.6226 0.7064
Tb: 0.5837 0.1807 0.2064
Tb: 0.5837 0.9030 0.3774
Tb: 0.5970 0.1807 0.4744
Tb: 0.5970 0.9163 0.1226
Tb: 0.6226 0.4163 0.0970
Tb: 0.6226 0.7064 0.5256
Tb: 0.6807 0.0837 0.7064
Tb: 0.6807 0.0970 0.9744
Tb: 0.7064 0.5256 0.6226
Tb: 0.7064 0.6807 0.0837
Tb: 0.7936 0.4163 0.8193
Tb: 0.7936 0.8774 0.9744
Tb: 0.8193 0.5256 0.4030
Tb: 0.8193 0.7936 0.4163
Tb: 0.8774 0.4030 0.0837
Tb: 0.8774 0.9744 0.7936
Tb: 0.9030 0.0256 0.3193
Tb: 0.9030 0.3774 0.5837
Tb: 0.9163 0.1226 0.5970
Tb: 0.9163 0.2936 0.3193
Tb: 0.9744 0.6807 0.0970
Tb: 0.9744 0.7936 0.8774
Os: 0.1250 0.2500 0.3750
Os: 0.1250 0.3750 0.7500
Os: 0.2500 0.3750 0.1250
Os: 0.2500 0.8750 0.6250
Os: 0.3750 0.1250 0.2500
Os: 0.3750 0.7500 0.1250
Os: 0.6250 0.2500 0.8750
Os: 0.6250 0.8750 0.7500
Os: 0.7500 0.1250 0.3750
Os: 0.7500 0.6250 0.8750
Os: 0.8750 0.6250 0.2500
Os: 0.8750 0.7500 0.6250
N: 0.0000 0.0000 0.0000
N: 0.0000 0.0000 0.5000
N: 0.0000 0.5000 0.0000
N: 0.0000 0.5000 0.5000
N: 0.1250 0.7500 0.8750
N: 0.1250 0.8750 0.2500
N: 0.2500 0.1250 0.8750
N: 0.2500 0.6250 0.3750
N: 0.3750 0.2500 0.6250
N: 0.3750 0.6250 0.7500
N: 0.5000 0.0000 0.0000
N: 0.5000 0.0000 0.5000
N: 0.5000 0.5000 0.0000
N: 0.5000 0.5000 0.5000
N: 0.6250 0.3750 0.2500
N: 0.6250 0.7500 0.3750
N: 0.7500 0.3750 0.6250
N: 0.7500 0.8750 0.1250
N: 0.8750 0.1250 0.7500
N: 0.8750 0.2500 0.1250